5
Lattice="5.036 0.000 0.000 0.000 5.036 0.000 0.000 0.000 6.175" Properties=species:S:1:pos:R:3 comment="GGA-PBE LaMnTlZn2, optimized geometry" total_magnetization_mub_per_cell=4.03 ef_ev_per_atom=0.7783 spacegroup="No. 123" pbc="T T T"
La 0.000 0.000 0.000
Mn 2.518 2.518 0.000
Tl 0.000 0.000 3.088
Zn 0.000 2.518 3.088
Zn 2.518 0.000 3.088